P:
Density functional theory data (meta-GGA SCAN) for a crystal of Li2ScHg2 relaxed with PBEsol.

Summary:
DOS at the Fermi energy = 4.61 states/eV/cell
crystal system = tetragonal

Lattice parameters (Å, degrees): 7.507 7.507 3.156 90.00 90.00 90.00
Space group P4/mbm (No. 127)
Inequivalent atoms, fractional coordinates:
Li (0.116, 0.384, 0.000) [4 per cell]
Sc (0.000, 0.000, 0.000) [2 per cell]
Hg (0.185, 0.685, 0.500) [4 per cell]


Q:
Density functional theory data (meta-GGA SCAN) for a crystal of Li2ScHg2 relaxed with PBEsol.

Summary:
DOS at the Fermi energy = 5.40 states/eV/cell
crystal system = tetragonal

Lattice parameters (Å, degrees): 3.727 3.727 13.753 90.00 90.00 90.00
Space group I4/mmm (No. 139)
Inequivalent atoms, fractional coordinates:
Li (0.000, 0.500, 0.250) [4 per cell]
Sc (0.000, 0.000, 0.000) [2 per cell]
Hg (0.000, 0.000, 0.394) [4 per cell]


P (2.2 kJ/mol of atoms below the next structure)


P:
Density functional theory data (meta-GGA SCAN) for a crystal of LiTlHg2 relaxed with PBEsol.

Summary:
DOS at the Fermi energy = 3.95 states/eV/cell
crystal system = trigonal

Lattice parameters (Å, degrees): 3.3255 3.3255 28.1743 90.00 90.00 120.00
Space group R3m (No. 160, hexagonal axes)
Inequivalent atoms, fractional coordinates:
Li (0.0000, 0.0000, 0.0000) [3 per cell]
Tl (0.0000, 0.0000, 0.2497) [3 per cell]
Hg (0.0000, 0.0000, 0.4913) [3 per cell]
Hg (0.0000, 0.0000, 0.7378) [3 per cell]


Q:
Density functional theory data (meta-GGA SCAN) for a crystal of LiTlHg2 relaxed with PBEsol.

Summary:
DOS at the Fermi energy = 2.36 states/eV/cell
crystal system = monoclinic

Lattice parameters (Å, degrees): 9.645 3.265 5.830 90.00 101.14 90.00
Space group C2/m (No. 12)
Inequivalent atoms, fractional coordinates:
Li (0.000, 0.000, 0.000) [2 per cell]
Tl (0.000, 0.500, 0.500) [2 per cell]
Hg (0.235, 0.500, 0.219) [4 per cell]


R:
Density functional theory data (meta-GGA SCAN) for a crystal of LiTlHg2 relaxed with PBEsol.

Summary:
DOS at the Fermi energy = 1.50 states/eV/cell
crystal system = tetragonal

Lattice parameters (Å, degrees): 3.664 3.664 6.594 90.00 90.00 90.00
Space group P4mm (No. 99)
Inequivalent atoms, fractional coordinates:
Li (0.000, 0.000, 0.000) [1 per cell]
Tl (0.500, 0.500, 0.272) [1 per cell]
Hg (0.000, 0.000, 0.547) [1 per cell]
Hg (0.500, 0.500, 0.805) [1 per cell]


Q (0.8 kJ/mol of atoms below the next structure)


P:
Density functional theory data (meta-GGA SCAN) for a crystal of LiTlHg2 relaxed with PBEsol.

Summary:
DOS at the Fermi energy = 2.92 states/eV/cell
crystal system = orthorhombic

Lattice parameters (Å, degrees): 4.452 4.522 8.770 90.00 90.00 90.00
Space group Imm2 (No. 44)
Inequivalent atoms, fractional coordinates:
Li (0.000, 0.000, 0.000) [2 per cell]
Tl (0.000, 0.500, 0.751) [2 per cell]
Hg (0.000, 0.000, 0.502) [2 per cell]
Hg (0.000, 0.500, 0.252) [2 per cell]


Q:
Density functional theory data (meta-GGA SCAN) for a crystal of LiTlHg2 relaxed with PBEsol.

Summary:
DOS at the Fermi energy = 1.35 states/eV/cell
crystal system = orthorhombic

Lattice parameters (Å, degrees): 3.540 3.609 6.896 90.00 90.00 90.00
Space group Pmmm (No. 47)
Inequivalent atoms, fractional coordinates:
Li (0.000, 0.000, 0.000) [1 per cell]
Tl (0.000, 0.000, 0.500) [1 per cell]
Hg (0.500, 0.500, 0.215) [2 per cell]


Q (5.4 kJ/mol of atoms below the next structure)


P:
Density functional theory data (meta-GGA SCAN) for a crystal of LiTlHg2 relaxed with PBEsol.

Summary:
DOS at the Fermi energy = 4.49 states/eV/cell
crystal system = trigonal

Lattice parameters (Å, degrees): 3.3036 3.3036 28.5878 90.00 90.00 120.00
Space group R-3m (No. 166, hexagonal axes)
Inequivalent atoms, fractional coordinates:
Li (0.0000, 0.0000, 0.0000) [3 per cell]
Tl (0.0000, 0.0000, 0.5000) [3 per cell]
Hg (0.0000, 0.0000, 0.2607) [6 per cell]


Q:
Density functional theory data (meta-GGA SCAN) for a crystal of LiTlHg2 relaxed with PBEsol.

Summary:
DOS at the Fermi energy = 4.64 states/eV/cell
crystal system = cubic

Lattice parameters (Å, degrees): 7.079 7.079 7.079 90.00 90.00 90.00
Space group F-43m (No. 216)
Inequivalent atoms, fractional coordinates:
Li (0.000, 0.000, 0.000) [4 per cell]
Tl (0.250, 0.250, 0.750) [4 per cell]
Hg (0.000, 0.000, 0.500) [4 per cell]
Hg (0.250, 0.250, 0.250) [4 per cell]


P (2.7 kJ/mol of atoms below the next structure)


P:
Density functional theory data (meta-GGA SCAN) for a crystal of LiTlHg2 relaxed with PBEsol.

Summary:
DOS at the Fermi energy = 5.00 states/eV/cell
crystal system = cubic

Lattice parameters (Å, degrees): 7.135 7.135 7.135 90.00 90.00 90.00
Space group Fm-3m (No. 225)
Inequivalent atoms, fractional coordinates:
Li (0.000, 0.000, 0.000) [4 per cell]
Tl (0.000, 0.000, 0.500) [4 per cell]
Hg (0.250, 0.250, 0.250) [8 per cell]


Q:
Density functional theory data (meta-GGA SCAN) for a crystal of LiTlHg2 relaxed with PBEsol.

Summary:
DOS at the Fermi energy = 1.39 states/eV/cell
crystal system = tetragonal

Lattice parameters (Å, degrees): 4.448 4.448 4.487 90.00 90.00 90.00
Space group P4/mmm (No. 123)
Inequivalent atoms, fractional coordinates:
Li (0.000, 0.000, 0.000) [1 per cell]
Tl (0.500, 0.500, 0.000) [1 per cell]
Hg (0.000, 0.500, 0.500) [2 per cell]


P (1.8 kJ/mol of atoms below the next structure)


P:
Density functional theory data (meta-GGA SCAN) for a crystal of LiYHg relaxed with PBEsol.

Summary:
DOS at the Fermi energy = 2.59 states/eV/cell
crystal system = tetragonal

Lattice parameters (Å, degrees): 3.740 3.740 9.411 90.00 90.00 90.00
Space group I4mm (No. 107)
Inequivalent atoms, fractional coordinates:
Li (0.000, 0.000, 0.000) [2 per cell]
Y (0.000, 0.000, 0.314) [2 per cell]
Hg (0.000, 0.000, 0.641) [2 per cell]


Q:
Density functional theory data (meta-GGA SCAN) for a crystal of LiYHg relaxed with PBEsol.

Summary:
DOS at the Fermi energy = 2.15 states/eV/cell
crystal system = hexagonal

Lattice parameters (Å, degrees): 4.7089 4.7089 3.4044 90.00 90.00 120.00
Space group P-6m2 (No. 187)
Inequivalent atoms, fractional coordinates:
Li (0.0000, 0.0000, 0.0000) [1 per cell]
Y (0.3333, 0.6667, 0.5000) [1 per cell]
Hg (0.6667, 0.3333, 0.0000) [1 per cell]


Q (4.5 kJ/mol of atoms below the next structure)